P.
Below is crystalline SrLaTb at its relaxed geometry, with properties calculated at the PBE level.

Cell lengths 3.817, 3.817, 8.621 Å; angles 102.79, 102.79, 90.00 degrees
Sites, in units of the cell vectors:
La 0.681 0.681 0.363
Tb 0.322 0.322 0.644
Sr 0.997 0.997 0.994

Values from the calculation:
Its density of states at the Fermi level is 4.21 states/eV/f.u. The symmetry is I4mm, No. 107.

=====

Q.
Below is crystalline SrLaTb at its relaxed geometry, with properties calculated at the PBE level.

Cell lengths 3.806, 3.806, 9.469 Å; angles 90.00, 90.00, 120.00 degrees
Sites, in units of the cell vectors:
Tb 0.667 0.333 0.349
La 0.333 0.667 0.644
Sr 0.000 0.000 0.007

Values from the calculation:
Its density of states at the Fermi level is 3.86 states/eV/f.u. The symmetry is P3m1, No. 156.

=====

Last place for stability: Q

=====

P.
Below is crystalline SrLa2Te2 at its relaxed geometry, with properties calculated at the PBE level.

Cell lengths 4.681, 4.681, 8.796 Å; angles 74.57, 74.57, 90.00 degrees
Sites, in units of the cell vectors:
Sr 0.000 0.000 0.000
La 0.750 0.250 0.500
La 0.250 0.750 0.500
Te 0.608 0.608 0.784
Te 0.392 0.392 0.216

Values from the calculation:
Its density of states at the Fermi level is 4.80 states/eV/f.u. The symmetry is I4/mmm, No. 139.

=====

Q.
Below is crystalline SrLa2Te2 at its relaxed geometry, with properties calculated at the PBE level.

Cell lengths 8.876, 8.876, 4.260 Å; angles 90.00, 90.00, 90.00 degrees
Sites, in units of the cell vectors:
Te 0.646 0.146 0.000
Te 0.146 0.354 0.000
Te 0.354 0.854 0.000
Te 0.854 0.646 0.000
Sr 0.500 0.500 0.000
Sr 0.000 0.000 0.000
La 0.152 0.652 0.500
La 0.652 0.848 0.500
La 0.348 0.152 0.500
La 0.848 0.348 0.500

Values from the calculation:
Its density of states at the Fermi level is 6.70 states/eV/f.u. The symmetry is P4/mbm, No. 127.

=====

Last place for stability: P

=====

P.
Below is crystalline SrLa3Te at its relaxed geometry, with properties calculated at the PBE level.

Cell lengths 6.122, 6.122, 6.122 Å; angles 90.00, 90.00, 90.00 degrees
Sites, in units of the cell vectors:
La 0.000 0.000 0.500
La 0.500 0.000 0.000
La 0.000 0.500 0.000
Sr 0.500 0.500 0.500
Te 0.000 0.000 0.000

Values from the calculation:
Its density of states at the Fermi level is 9.35 states/eV/f.u. The symmetry is Pm-3m, No. 221.

=====

Q.
Below is crystalline SrLa3Te at its relaxed geometry, with properties calculated at the PBE level.

Cell lengths 5.830, 5.830, 5.830 Å; angles 90.00, 90.00, 90.00 degrees
Sites, in units of the cell vectors:
La 0.000 0.000 0.500
La 0.000 0.500 0.000
La 0.500 0.000 0.000
Te 0.500 0.500 0.500
Sr 0.000 0.000 0.000

Values from the calculation:
Its density of states at the Fermi level is 8.72 states/eV/f.u. The symmetry is Pm-3m, No. 221.

=====

Last place for stability: Q

=====

P.
Below is crystalline SrLaTi2 at its relaxed geometry, with properties calculated at the PBE level.

Cell lengths 5.360, 5.360, 5.360 Å; angles 60.00, 60.00, 60.00 degrees
Sites, in units of the cell vectors:
Ti 0.250 0.250 0.250
Ti 0.750 0.750 0.750
La 0.500 0.500 0.500
Sr 0.000 0.000 0.000

Values from the calculation:
Its density of states at the Fermi level is 6.43 states/eV/f.u. The symmetry is Fm-3m, No. 225.

=====

Q.
Below is crystalline SrLaTi2 at its relaxed geometry, with properties calculated at the PBE level.

Cell lengths 4.990, 4.990, 11.305 Å; angles 77.25, 77.25, 90.00 degrees
Sites, in units of the cell vectors:
Ti 0.375 0.125 0.750
Ti 0.875 0.625 0.250
Ti 0.875 0.125 0.250
Ti 0.875 0.125 0.750
La 0.000 0.000 0.000
La 0.750 0.250 0.500
Sr 0.250 0.750 0.500
Sr 0.500 0.500 0.000

Values from the calculation:
Its density of states at the Fermi level is 5.77 states/eV/f.u. The symmetry is I4_1/amd, No. 141.

=====

Last place for stability: Q

=====

P.
Below is crystalline Sr3LaTi at its relaxed geometry, with properties calculated at the PBE level.

Cell lengths 6.100, 6.100, 6.100 Å; angles 90.00, 90.00, 90.00 degrees
Sites, in units of the cell vectors:
Sr 0.000 0.000 0.500
Sr 0.000 0.500 0.000
Sr 0.500 0.000 0.000
La 0.500 0.500 0.500
Ti 0.000 0.000 0.000

Values from the calculation:
Its density of states at the Fermi level is 6.16 states/eV/f.u. The symmetry is Pm-3m, No. 221.

=====

Q.
Below is crystalline Sr3LaTi at its relaxed geometry, with properties calculated at the PBE level.

Cell lengths 6.171, 6.171, 6.171 Å; angles 90.00, 90.00, 90.00 degrees
Sites, in units of the cell vectors:
Sr 0.000 0.000 0.500
Sr 0.500 0.000 0.000
Sr 0.000 0.500 0.000
La 0.000 0.000 0.000
Ti 0.500 0.500 0.500

Values from the calculation:
Its density of states at the Fermi level is 6.99 states/eV/f.u. The symmetry is Pm-3m, No. 221.

=====

Last place for stability: Q

=====

P.
Below is crystalline SrLaTl4 at its relaxed geometry, with properties calculated at the PBE level.

Cell lengths 6.419, 6.419, 6.419 Å; angles 60.00, 60.00, 60.00 degrees
Sites, in units of the cell vectors:
La 0.750 0.750 0.750
Sr 0.000 0.000 0.000
Tl 0.375 0.874 0.375
Tl 0.874 0.375 0.375
Tl 0.375 0.375 0.375
Tl 0.375 0.375 0.874

Values from the calculation:
Its density of states at the Fermi level is 4.76 states/eV/f.u. The symmetry is F-43m, No. 216.

=====

Q.
Below is crystalline SrLaTl4 at its relaxed geometry, with properties calculated at the PBE level.

Cell lengths 3.896, 8.643, 6.187 Å; angles 79.23, 90.00, 90.00 degrees
Sites, in units of the cell vectors:
Sr 0.000 0.000 0.000
Tl 0.500 0.319 0.030
Tl 0.500 0.681 0.970
Tl 0.000 0.814 0.533
Tl 0.000 0.186 0.467
La 0.500 0.500 0.500

Values from the calculation:
Its density of states at the Fermi level is 3.59 states/eV/f.u. The symmetry is P2/m, No. 10.

=====

R.
Below is crystalline SrLaTl4 at its relaxed geometry, with properties calculated at the PBE level.

Cell lengths 5.161, 5.161, 8.392 Å; angles 90.06, 90.06, 59.92 degrees
Sites, in units of the cell vectors:
Tl 0.918 0.414 0.784
Tl 0.918 0.414 0.322
Tl 0.585 0.081 0.212
Tl 0.585 0.081 0.674
Sr 0.251 0.747 0.998
La 0.251 0.747 0.498

Values from the calculation:
Its density of states at the Fermi level is 3.64 states/eV/f.u. The symmetry is C2/m, No. 12.

=====

Last place for stability: Q

=====

P.
Below is crystalline SrLaTm2 at its relaxed geometry, with properties calculated at the PBE level.

Cell lengths 3.689, 3.689, 12.318 Å; angles 81.39, 81.39, 60.00 degrees
Sites, in units of the cell vectors:
La 0.666 0.666 0.001
Tm 0.255 0.255 0.235
Tm 0.078 0.078 0.765
Sr 0.500 0.500 0.499

Values from the calculation:
Its density of states at the Fermi level is 6.05 states/eV/f.u. The symmetry is R3m, No. 160.

=====

Q.
Below is crystalline SrLaTm2 at its relaxed geometry, with properties calculated at the PBE level.

Cell lengths 3.689, 3.689, 12.352 Å; angles 81.41, 81.41, 60.00 degrees
Sites, in units of the cell vectors:
La 0.000 0.000 0.000
Tm 0.255 0.255 0.234
Tm 0.745 0.745 0.766
Sr 0.500 0.500 0.500

Values from the calculation:
Its density of states at the Fermi level is 6.37 states/eV/f.u. The symmetry is R-3m, No. 166.

=====

Last place for stability: Q

=====

P.
Below is crystalline Sr3LaV at its relaxed geometry, with properties calculated at the PBE level.

Cell lengths 6.136, 6.136, 6.136 Å; angles 90.00, 90.00, 90.00 degrees
Sites, in units of the cell vectors:
Sr 0.000 0.000 0.500
Sr 0.500 0.000 0.000
Sr 0.000 0.500 0.000
V 0.000 0.000 0.000
La 0.500 0.500 0.500

Values from the calculation:
Its density of states at the Fermi level is 10.38 states/eV/f.u. The symmetry is Pm-3m, No. 221.

=====

Q.
Below is crystalline Sr3LaV at its relaxed geometry, with properties calculated at the PBE level.

Cell lengths 6.220, 6.220, 6.220 Å; angles 90.00, 90.00, 90.00 degrees
Sites, in units of the cell vectors:
Sr 0.000 0.500 0.000
Sr 0.000 0.000 0.500
Sr 0.500 0.000 0.000
V 0.500 0.500 0.500
La 0.000 0.000 0.000

Values from the calculation:
Its density of states at the Fermi level is 8.72 states/eV/f.u. The symmetry is Pm-3m, No. 221.

=====

Last place for stability: Q